Compound: Cu2AgPd6
Source: Alexandria via LeMat-Bulk
Functional: PBE-GGA
Structure: optimized geometry

Excess energy over the best structure of this formula in the dataset (eV/f.u.): 0.00
Mass density (Mg/m³): 10.745
Electronic total energy (eV per formula unit): -42.51
ΔH_f (0 K) (eV/atom): -0.034
M_tot (Bohr magnetons per cell): 0.00
D(E_F) (states/eV per atom): 1.4078

a b c (Å): 3.9091 11.7469 11.7585
angles (deg): 90.00 90.00 90.00
Last column: nearest neighbours and their distance in Å.
Space group Fmmm (No. 69)
Asymmetric unit:
Cu 0.0000 0.1701 0.0000 x8  8 Pd 2.68-2.80, 2 Cu 2.71, 2 Ag 2.79
Ag 0.0000 0.0000 0.5000 x4  8 Pd 2.76-2.77, 4 Cu 2.79
Pd 0.0000 0.0000 0.1665 x8  2 Ag 2.77, 8 Pd 2.77-2.83, 2 Cu 2.80
Pd 0.0000 0.1693 0.3377 x16  3 Cu 2.68-2.73, 8 Pd 2.72-2.84, 1 Ag 2.76

Compound: GaCuTe
Source: Alexandria via LeMat-Bulk
Functional: PBE-GGA
Structure: optimized geometry

Excess energy over the best structure of this formula in the dataset (eV/f.u.): 0.01
Mass density (Mg/m³): 5.968
Electronic total energy (eV per formula unit): -10.68
Formation energy (no corrections) (eV/atom): -0.139
M_tot (Bohr magnetons per cell): 0.00
D(E_F) (states/eV per atom): 0.2168

a b c (Å): 7.2263 4.1035 9.7905
angles (deg): 90.00 90.24 90.00
Last column: nearest neighbours and their distance in Å.
Space group Cm (No. 8)
Asymmetric unit:
Ga 0.0000 0.0000 0.0000 x2  3 Cu 2.39-2.40
Ga 0.1745 0.5000 0.2278 x2  1 Cu 2.40
Cu 0.1694 0.5000 0.9831 x2  4 Ga 2.39-2.40, 1 Te 2.52
Cu 0.3384 0.0000 0.8510 x2  3 Te 2.68-2.70, 3 Cu 2.71-2.72, 3 Ga 2.77-2.85
Te 0.0070 0.0000 0.3648 x2  3 Ga 2.74-2.75
Te 0.1703 0.5000 0.7253 x2  4 Cu 2.52-2.70

Compound: HfTi5Pt6
Source: Alexandria via LeMat-Bulk
Functional: PBE-GGA
Structure: optimized geometry

Mass density (Mg/m³): 13.788
Electronic total energy (eV per formula unit): -96.66
ΔH_f (0 K) (eV/atom): -0.916
M_tot (Bohr magnetons per cell): 4.25
D(E_F) (states/eV per atom): 0.9402

a b c (Å): 4.0348 12.1252 7.8199
angles (deg): 90.00 90.00 90.00
Last column: nearest neighbours and their distance in Å.
Space group Cmmm (No. 65)
Asymmetric unit:
Hf 0.0000 0.0000 0.0000 x2  8 Pt 2.83-2.84, 4 Ti 2.93
Ti 0.0000 0.0000 0.5000 x2  8 Pt 2.79-2.80, 4 Ti 2.85
Ti 0.0000 0.3253 0.0000 x4  2 Ti 2.72, 8 Pt 2.76-2.90, 2 Hf 2.93
Ti 0.0000 0.3335 0.5000 x4  8 Pt 2.78-2.79, 4 Ti 2.85-2.86
Pt 0.0000 0.1675 0.2545 x8  7 Ti 2.76-2.84, 4 Pt 2.84-2.86, 1 Hf 2.84
Pt 0.0000 0.5000 0.2542 x4  6 Ti 2.79-2.90, 2 Hf 2.83, 4 Pt 2.86

The highest M_tot belongs to which entry?
HfTi5Pt6

Look up the mass density of the second one.
5.968 Mg/m³

Repeat the first record exactly.
Compound: Cu2AgPd6
Source: Alexandria via LeMat-Bulk
Functional: PBE-GGA
Structure: optimized geometry

Excess energy over the best structure of this formula in the dataset (eV/f.u.): 0.00
Mass density (Mg/m³): 10.745
Electronic total energy (eV per formula unit): -42.51
ΔH_f (0 K) (eV/atom): -0.034
M_tot (Bohr magnetons per cell): 0.00
D(E_F) (states/eV per atom): 1.4078

a b c (Å): 3.9091 11.7469 11.7585
angles (deg): 90.00 90.00 90.00
Last column: nearest neighbours and their distance in Å.
Space group Fmmm (No. 69)
Asymmetric unit:
Cu 0.0000 0.1701 0.0000 x8  8 Pd 2.68-2.80, 2 Cu 2.71, 2 Ag 2.79
Ag 0.0000 0.0000 0.5000 x4  8 Pd 2.76-2.77, 4 Cu 2.79
Pd 0.0000 0.0000 0.1665 x8  2 Ag 2.77, 8 Pd 2.77-2.83, 2 Cu 2.80
Pd 0.0000 0.1693 0.3377 x16  3 Cu 2.68-2.73, 8 Pd 2.72-2.84, 1 Ag 2.76

What is the formula in the second record?
GaCuTe